## Th4P2PdS (GGA-PBE)

Data for crystalline Th4P2PdS at its relaxed geometry.

**E_form (uncorrected)**: -1380 meV/atom
**DOS(E_F)**: 0.840 states/eV/atom

Cell: 4.0926 7.2519 7.1721 Å, 70.53 90.00 90.00°
Closest atoms and distances in Å follow each position.
Element x y z (fractional)
Pd  0.5000  0.5000  0.0000  6 Th 2.94-3.01
Th  0.0000  0.7552  0.7478  3 P 2.90-2.93, 2 Pd 2.94, 1 S 2.96
Th  0.5000  0.7583  0.2523  3 P 2.88-2.90, 2 S 2.94, 1 Pd 3.01
Th  0.5000  0.2417  0.7477  3 P 2.88-2.90, 2 S 2.94, 1 Pd 3.01
Th  0.0000  0.2448  0.2522  3 P 2.90-2.93, 2 Pd 2.94, 1 S 2.96
P  0.5000  0.0000  0.5000  6 Th 2.88-2.90
P  0.0000  0.0000  0.0000  6 Th 2.90-2.93
S  0.0000  0.5000  0.5000  6 Th 2.94-2.96



## Th4PPdS2 (GGA-PBE)

Data for crystalline Th4PPdS2 at its relaxed geometry.

**E_form (uncorrected)**: -1439 meV/atom
**DOS(E_F)**: 0.750 states/eV/atom

Cell: 4.0960 7.0992 7.2301 Å, 70.67 90.00 90.00°
Closest atoms and distances in Å follow each position.
Element x y z (fractional)
Th  0.5000  0.2483  0.7541  3 S 2.90-2.94, 1 P 2.91, 2 Pd 2.93
Th  0.5000  0.7517  0.2459  3 S 2.90-2.94, 1 P 2.91, 2 Pd 2.93
Th  0.0000  0.7513  0.7567  3 S 2.88-2.93, 2 P 2.90, 1 Pd 2.97
Th  0.0000  0.2487  0.2433  3 S 2.88-2.93, 2 P 2.90, 1 Pd 2.97
S  0.5000  0.0000  0.5000  6 Th 2.93-2.94
S  0.0000  0.0000  0.0000  6 Th 2.88-2.90
P  0.5000  0.5000  0.0000  6 Th 2.90-2.91
Pd  0.0000  0.5000  0.5000  6 Th 2.93-2.97



## ThPPdS (GGA-PBE)

Data for crystalline ThPPdS at its relaxed geometry.

**E_form (uncorrected)**: -1215 meV/atom
**DOS(E_F)**: 0.759 states/eV/atom

Cell: 4.4168 4.4168 8.2810 Å, 90.00 90.00 90.00°
Closest atoms and distances in Å follow each position.
Element x y z (fractional)
S  0.5000  0.5000  0.5000  4 Th 2.80, 4 S 3.12
S  0.0000  0.0000  0.5000  4 Th 2.80, 4 S 3.12
Th  0.0000  0.5000  0.2919  4 S 2.80
Th  0.5000  0.0000  0.7081  4 S 2.80
Pd  0.0000  0.0000  0.0000  4 P 2.50
Pd  0.5000  0.5000  0.0000  4 P 2.50
P  0.0000  0.5000  0.8588  4 Pd 2.50
P  0.5000  0.0000  0.1412  4 Pd 2.50



## Th6P2PdS3 (GGA-PBE)

Data for crystalline Th6P2PdS3 at its relaxed geometry.

**E_form (uncorrected)**: -1527 meV/atom
**DOS(E_F)**: 0.803 states/eV/atom

Cell: 4.0946 8.2642 9.1722 Å, 101.98 102.90 90.00°
Closest atoms and distances in Å follow each position.
Element x y z (fractional)
P  0.1679  0.3336  0.3358  6 Th 2.90-2.91
P  0.8321  0.6664  0.6642  6 Th 2.90-2.91
S  0.5000  0.5000  0.0000  6 Th 2.89-2.90
S  0.8344  0.1672  0.6689  6 Th 2.88-2.92
S  0.1656  0.8328  0.3311  6 Th 2.88-2.92
Th  0.3306  0.9141  0.6612  3 S 2.88-2.92, 2 P 2.90, 1 Pd 2.96
Th  0.3339  0.4184  0.6677  3 P 2.90, 3 S 2.90-2.92
Th  0.9984  0.7455  0.9969  3 S 2.89-2.92, 1 P 2.91, 2 Pd 2.93
Th  0.6694  0.0859  0.3388  3 S 2.88-2.92, 2 P 2.90, 1 Pd 2.96
Th  0.0016  0.2545  0.0031  3 S 2.89-2.92, 1 P 2.91, 2 Pd 2.93
Th  0.6661  0.5816  0.3323  3 P 2.90, 3 S 2.90-2.92
Pd  0.5000  0.0000  0.0000  6 Th 2.93-2.96



## TiPPd2S (GGA-PBE)

Data for crystalline TiPPd2S at its relaxed geometry.

**E_form (uncorrected)**: -38 meV/atom
**DOS(E_F)**: 0.708 states/eV/atom

Cell: 4.4327 4.5783 4.4327 Å, 90.00 90.00 90.00°
Closest atoms and distances in Å follow each position.
Element x y z (fractional)
Pd  0.5000  0.0000  0.0000  2 S 2.22
Pd  0.0000  0.0000  0.5000  2 S 2.22
P  0.5000  0.5000  0.5000  4 Ti 3.13, 8 Pd 3.19
Ti  0.0000  0.5000  0.0000  2 S 2.29
S  0.0000  0.0000  0.0000  4 Pd 2.22, 2 Ti 2.29



## TlP2PdS (GGA-PBE)

Data for crystalline TlP2PdS at its relaxed geometry.

**E_form (uncorrected)**: 1525 meV/atom
**DOS(E_F)**: 1.336 states/eV/atom

Cell: 5.0911 5.0911 5.0509 Å, 90.00 90.00 90.00°
Closest atoms and distances in Å follow each position.
Element x y z (fractional)
Tl  0.0000  0.0000  0.0000  2 S 2.53, 4 P 2.55
Pd  0.5000  0.5000  0.5000  8 P 3.59, 4 S 3.60
S  0.0000  0.0000  0.5000  2 Tl 2.53
P  0.0000  0.5000  0.0000  2 Tl 2.55
P  0.5000  0.0000  0.0000  2 Tl 2.55